Here is a crystal of Co4PCl relaxed with PBEsol from Alexandria via LeMat-Bulk. Energies are from meta-GGA SCAN.

POSCAR file:
```
Co4PCl
1.0
4.739 0.000 0.000
2.370 4.104 0.000
2.370 1.368 3.870
Cl Co P
1 4 1
direct
0.000 0.000 0.000
0.872 0.376 0.376
0.376 0.376 0.376
0.376 0.376 0.872
0.376 0.872 0.376
0.750 0.750 0.750
```

## Properties
energy relative to the elements, uncorrected: 0.758 eV/atom
mass density: 6666 kg/m³
electronic total energy: -83.045 eV/cell
crystal system: cubic



Here is a crystal of V2CdP2O10 relaxed with PBEsol from Alexandria via LeMat-Bulk. Energies are from meta-GGA SCAN.

POSCAR file:
```
V2CdP2O10
1.0
-4.044 5.199 1.493
-1.616 -5.919 2.823
7.394 2.107 4.117
V Cd P O
4 2 4 20
direct
0.627 0.351 0.263
0.601 0.377 0.763
0.087 0.364 0.737
0.614 0.837 0.237
0.999 0.999 0.000
0.249 0.749 0.500
0.786 0.786 0.583
0.036 0.536 0.083
0.203 0.203 0.417
0.453 0.953 0.917
0.596 0.811 0.464
0.640 0.919 0.030
0.169 0.390 0.530
0.338 0.308 0.307
0.964 0.988 0.298
0.281 0.751 0.193
0.661 0.157 0.335
0.382 0.097 0.036
0.822 0.326 0.665
0.001 0.031 0.693
0.558 0.088 0.807
0.576 0.572 0.165
0.347 0.132 0.536
0.061 0.346 0.964
0.238 0.714 0.798
0.407 0.411 0.835
0.889 0.610 0.970
0.690 0.666 0.702
0.860 0.639 0.470
0.916 0.440 0.202
```

## Properties
energy relative to the elements, uncorrected: -2.435 eV/atom
mass density: 4444 kg/m³
electronic total energy: -370.058 eV/cell
crystal system: orthorhombic



Here is a crystal of TlSi2Se relaxed with PBEsol from Alexandria via LeMat-Bulk. Energies are from meta-GGA SCAN.

POSCAR file:
```
TlSi2Se
1.0
4.111 0.000 0.000
0.000 4.111 0.000
0.000 0.000 4.848
Se Si Tl
1 2 1
direct
0.000 0.000 0.500
0.000 0.500 0.000
0.500 0.000 0.000
0.500 0.500 0.500
```

## Properties
energy relative to the elements, uncorrected: 0.779 eV/atom
distance to the lowest polymorph of the same formula: 0.571 eV per atom
mass density: 6882 kg/m³
electronic total energy: -109.352 eV/cell
crystal system: tetragonal



Here is a crystal of YP2IO relaxed with PBEsol from Alexandria via LeMat-Bulk. Energies are from meta-GGA SCAN.

POSCAR file:
```
YP2IO
1.0
-1.357 -1.109 -3.580
-2.099 -4.102 2.066
-4.259 2.589 0.812
I Y O P
1 1 1 2
direct
0.000 0.000 0.000
0.500 0.500 0.500
0.500 0.000 0.000
0.000 0.000 0.500
0.000 0.500 0.000
```

## Properties
energy relative to the elements, uncorrected: 0.008 eV/atom
mass density: 4800 kg/m³
electronic total energy: -91.574 eV/cell
crystal system: tetragonal



Here is a crystal of SrP3Se relaxed with PBEsol from Alexandria via LeMat-Bulk. Energies are from meta-GGA SCAN.

POSCAR file:
```
SrP3Se
1.0
-4.597 1.189 -0.859
-0.659 -4.200 -2.282
-1.310 -2.057 4.164
Sr Se P
1 1 3
direct
0.500 0.500 0.500
0.000 0.000 0.000
0.000 0.500 0.000
0.000 0.000 0.500
0.500 0.000 0.000
```

## Properties
energy relative to the elements, uncorrected: 0.271 eV/atom
mass density: 3835 kg/m³
electronic total energy: -72.196 eV/cell
crystal system: cubic



Here is a crystal of MnCuTe2 relaxed with PBEsol from Alexandria via LeMat-Bulk. Energies are from meta-GGA SCAN.

POSCAR file:
```
MnCuTe2
1.0
3.846 0.000 0.000
1.923 3.331 0.000
1.923 1.110 6.469
Cu Mn Te
1 1 2
direct
0.000 0.000 0.000
0.500 0.500 0.500
0.749 0.749 0.754
0.251 0.251 0.246
```

## Properties
energy relative to the elements, uncorrected: -0.241 eV/atom
mass density: 7487 kg/m³
electronic total energy: -108.922 eV/cell
crystal system: trigonal



Here is a crystal of Sr3Tc relaxed with PBEsol from Alexandria via LeMat-Bulk. Energies are from meta-GGA SCAN.

POSCAR file:
```
Sr3Tc
1.0
-1.147 3.613 0.249
-1.652 -2.350 -2.486
-7.660 -2.977 7.905
Sr Tc
3 1
direct
0.000 0.000 0.317
0.000 0.000 0.683
0.333 0.667 0.000
0.333 0.667 0.500
```

## Properties
E_form: 3.35 eV per formula unit
mass density: 4206 kg/m³
electronic total energy: -98.532 eV/cell
crystal system: hexagonal



Here is a crystal of MgO relaxed with PBEsol from Alexandria via LeMat-Bulk. Energies are from meta-GGA SCAN.

POSCAR file:
```
MgO
1.0
-1.431 1.108 2.727
1.352 -2.980 -0.043
13.469 6.043 4.614
Mg O
6 6
direct
0.667 0.333 0.649
0.667 0.333 0.979
0.000 0.000 0.814
0.000 0.000 0.482
0.000 0.000 0.148
0.333 0.667 0.314
0.667 0.333 0.851
0.667 0.333 0.520
0.000 0.000 0.018
0.000 0.000 0.686
0.000 0.000 0.353
0.333 0.667 0.186
```

## Properties
energy relative to the elements, uncorrected: -2.887 eV/atom
mass density: 2799 kg/m³
electronic total energy: -101.874 eV/cell
crystal system: trigonal